Record 1
# Be2SnIr2 PBE optimized geometry
# - Mass density: 13249 kg/m³
# - V: 131 Å³/cell
# - ΔE to the lowest computed polymorph: 0.00 eV per formula unit
# - Size of the total moment: 0.00 Bohr magnetons per cell
data_Be2SnIr2
_symmetry_space_group_name_H-M 'P 4/m b m'
_symmetry_Int_Tables_number 127
_symmetry_space_group_name_Hall '-P 4 2ab'
_cell_length_a 6.7780
_cell_length_b 6.7780
_cell_length_c 2.8436
_cell_angle_alpha 90.00
_cell_angle_beta 90.00
_cell_angle_gamma 90.00
loop_
_atom_site_label
_atom_site_type_symbol
_atom_site_fract_x
_atom_site_fract_y
_atom_site_fract_z
Be1 Be 0.1168 0.3832 0.0000
Sn1 Sn 0.0000 0.0000 0.0000
Ir1 Ir 0.1710 0.6710 0.5000

***

Record 2
# BeSnIr3 PBE optimized geometry
# - Mass density: 15638 kg/m³
# - V: 75 Å³/cell
# - ΔE to the lowest computed polymorph: 0.00 eV per formula unit
# - Size of the total moment: 0.00 Bohr magnetons per cell
data_BeSnIr3
_symmetry_space_group_name_H-M 'P m -3 m'
_symmetry_Int_Tables_number 221
_symmetry_space_group_name_Hall '-P 4 2 3'
_cell_length_a 4.2133
_cell_length_b 4.2133
_cell_length_c 4.2133
_cell_angle_alpha 90.00
_cell_angle_beta 90.00
_cell_angle_gamma 90.00
loop_
_atom_site_label
_atom_site_type_symbol
_atom_site_fract_x
_atom_site_fract_y
_atom_site_fract_z
Be1 Be 0.0000 0.0000 0.0000
Sn1 Sn 0.5000 0.5000 0.5000
Ir1 Ir 0.0000 0.0000 0.5000